(1)
Ho3Te, relaxed, DFT PBE; symmetry = Imm2 (44); E above lowest polymorph = 102.3 meV per atom; uncorrected formation energy = -50 kJ/mol of atoms; theoretical density = 8.9 Mg/m³
1.0
3.7625 0.0000 0.0000
0.0000 5.9253 0.0000
-1.8812 -2.9626 5.1992
Te Ho
1 3
direct
0.0000 0.0299 0.0000 Te
0.2764 0.6181 0.5529 Ho
0.5000 0.4535 0.0000 Ho
0.7236 0.0652 0.4471 Ho

(2)
HoTe, relaxed, DFT PBE; symmetry = P4/nmm (129); uncorrected formation energy = -122 kJ/mol of atoms; theoretical density = 8.5 Mg/m³
1.0
-0.1090 -1.0073 4.1016
1.8919 -3.6801 -0.8535
5.7327 2.7553 0.8271
Te Ho
2 2
direct
0.7496 0.7500 0.7055 Te
0.2504 0.2500 0.2945 Te
0.7504 0.7500 0.1858 Ho
0.2496 0.2500 0.8142 Ho

(3)
Ho3Te5, relaxed, DFT PBE; symmetry = P6_3/mcm (193); uncorrected formation energy = -116 kJ/mol of atoms; theoretical density = 8.0 Mg/m³
1.0
-3.2490 3.0362 4.2232
-5.1874 -7.6996 1.5447
7.8478 1.4649 4.9844
Ho Te
6 10
direct
0.2500 0.0000 0.3727 Ho
0.2500 0.3727 0.0000 Ho
0.2500 0.6273 0.6273 Ho
0.7500 0.0000 0.6273 Ho
0.7500 0.6273 0.0000 Ho
0.7500 0.3727 0.3727 Ho
0.0000 0.6667 0.3333 Te
0.0000 0.3333 0.6667 Te
0.5000 0.3333 0.6667 Te
0.5000 0.6667 0.3333 Te
0.2500 0.0000 0.7243 Te
0.2500 0.7243 0.0000 Te
0.2500 0.2757 0.2757 Te
0.7500 0.0000 0.2757 Te
0.7500 0.2757 0.0000 Te
0.7500 0.7243 0.7243 Te

(4)
HoTe, relaxed, DFT PBE; symmetry = Pm-3m (221); uncorrected formation energy = -109 kJ/mol of atoms; theoretical density = 9.1 Mg/m³
1.0
3.7662 0.0000 0.0000
0.0000 3.7662 0.0000
0.0000 0.0000 3.7662
Te Ho
1 1
direct
0.0000 0.0000 0.0000 Te
0.5000 0.5000 0.5000 Ho

(5)
Ho5Te8, relaxed, DFT PBE; symmetry = C2/m (12); uncorrected formation energy = -125 kJ/mol of atoms; theoretical density = 6.6 Mg/m³
1.0
-0.6697 -1.8488 -8.4070
-3.6645 -5.1813 5.8540
-3.9525 7.3778 1.0293
Ho Te
5 8
direct
0.0000 0.0000 0.0000 Ho
0.7610 0.2610 0.5000 Ho
0.2390 0.7390 0.5000 Ho
0.7409 0.7322 0.4731 Ho
0.2591 0.2678 0.5269 Ho
0.2951 0.9721 0.2672 Te
0.7049 0.0279 0.7328 Te
0.7898 0.4533 0.2431 Te
0.2102 0.5467 0.7569 Te
0.7969 0.9677 0.2492 Te
0.7186 0.5477 0.7508 Te
0.2814 0.4523 0.2492 Te
0.2031 0.0323 0.7508 Te

(6)
Ho2Te3, relaxed, DFT PBE; symmetry = P4/mmm (123); uncorrected formation energy = 45 kJ/mol of atoms; theoretical density = 0.5 Mg/m³
1.0
12.1354 0.0000 0.0000
0.0000 12.1354 0.0000
0.0000 0.0000 15.6636
Ho Te
2 3
direct
0.5000 0.5000 0.1864 Ho
0.5000 0.5000 0.8136 Ho
0.5000 0.5000 0.6425 Te
0.5000 0.5000 0.3575 Te
0.5000 0.5000 0.0000 Te